Below is K3Mo2BrO7 at its PBEsol-relaxed geometry, with properties calculated at the SCAN level. Values from VASP.

Summary:
E_form (uncorrected) = -2206 meV/atom
electronic total energy = -373.0 eV per cell
theoretical density = 3.5 Mg/m³

```
&SYSTEM
  ibrav = 0, nat = 26, ntyp = 4
/
ATOMIC_SPECIES
O 16.00 O.upf
K 39.10 K.upf
Mo 95.94 Mo.upf
Br 79.90 Br.upf
CELL_PARAMETERS angstrom
-5.825 0.757 -1.020
1.817 -2.986 4.830
0.309 13.307 8.109
ATOMIC_POSITIONS angstrom
O 0.077 3.327 2.027
O 0.232 9.980 6.082
O 0.642 -1.183 4.648
O -0.219 4.619 4.676
O -2.431 -0.784 4.110
O -1.367 7.635 5.233
O -0.317 0.392 2.101
O -4.341 12.261 7.271
O -4.439 8.034 4.695
O -2.333 3.443 6.686
O 0.740 3.044 7.224
O -3.480 6.459 7.243
O -1.269 11.862 7.809
O -3.382 10.686 9.819
K -0.434 11.014 10.651
K -0.653 1.588 4.907
K -3.136 5.609 4.647
K -3.265 0.063 1.268
K -0.563 5.469 7.272
K -3.046 9.489 7.012
Mo 0.269 11.578 7.055
Mo 0.114 4.924 3.001
Mo 0.040 1.729 1.054
Mo 0.194 8.382 5.108
Br -0.499 8.242 8.962
Br -3.201 2.836 2.957
```